Entry 1:
# PBE-GGA La2Nd3Sm, relaxed
data_La2Nd3Sm
_chemical_formula_sum 'La8 Nd12 Sm4'
_cell_length_a 17.485
_cell_length_b 7.059
_cell_length_c 7.141
_cell_angle_alpha 90.00
_cell_angle_beta 101.73
_cell_angle_gamma 90.00
_symmetry_space_group_name_H-M 'C 1 2/c 1'
_symmetry_Int_Tables_number 15
_symmetry_space_group_name_Hall '-C 2yc'
loop_
_atom_site_label
_atom_site_type_symbol
_atom_site_fract_x
_atom_site_fract_y
_atom_site_fract_z
La1 La 0.173 0.003 0.088
Nd1 Nd 0.000 0.235 0.750
Nd2 Nd 0.141 0.498 0.570
Sm1 Sm 0.000 0.237 0.250
# Offset from the most stable computed form = 69 meV/atom


Entry 2:
First-principles (PBE-GGA) data for a relaxed structure of LaNd12Sm5, as listed in Alexandria via LeMat-Bulk.

```
data_LaNd12Sm5
_chemical_formula_sum 'La1 Nd12 Sm5'
_cell_length_a 11.015
_cell_length_b 5.194
_cell_length_c 11.026
_cell_angle_alpha 90.00
_cell_angle_beta 90.07
_cell_angle_gamma 90.00
_symmetry_space_group_name_H-M 'P 1 2/m 1'
_symmetry_Int_Tables_number 10
_symmetry_space_group_name_Hall '-P 2y'
loop_
_atom_site_label
_atom_site_type_symbol
_atom_site_fract_x
_atom_site_fract_y
_atom_site_fract_z
La1 La 0.000 0.000 0.000
Nd1 Nd 0.001 0.000 0.334
Nd2 Nd 0.167 0.500 0.833
Nd3 Nd 0.168 0.500 0.499
Nd4 Nd 0.334 0.000 0.000
Nd5 Nd 0.334 0.000 0.666
Nd6 Nd 0.499 0.500 0.168
Sm1 Sm 0.168 0.500 0.168
Sm2 Sm 0.333 0.000 0.333
Sm3 Sm 0.500 0.500 0.500
```


Entry 3:
First-principles (PBE-GGA) data for a relaxed structure of La8Nd3Sm, as listed in Alexandria via LeMat-Bulk.

```
data_La8Nd3Sm
_chemical_formula_sum 'La16 Nd6 Sm2'
_cell_length_a 6.457
_cell_length_b 9.138
_cell_length_c 14.767
_cell_angle_alpha 90.00
_cell_angle_beta 90.00
_cell_angle_gamma 90.00
_symmetry_space_group_name_H-M 'I 2 2 2'
_symmetry_Int_Tables_number 23
_symmetry_space_group_name_Hall 'I 2 2'
loop_
_atom_site_label
_atom_site_type_symbol
_atom_site_fract_x
_atom_site_fract_y
_atom_site_fract_z
La1 La 0.130 0.173 0.095
La2 La 0.152 0.353 0.283
Nd1 Nd 0.000 0.000 0.383
Nd2 Nd 0.000 0.500 0.000
Sm1 Sm 0.000 0.500 0.500
```


Entry 4:
First-principles (PBE-GGA) data for a relaxed structure of La9NdSm2, as listed in Alexandria via LeMat-Bulk.

```
data_La9NdSm2
_chemical_formula_sum 'La9 Nd1 Sm2'
_cell_length_a 5.233
_cell_length_b 5.233
_cell_length_c 15.707
_cell_angle_alpha 90.00
_cell_angle_beta 90.00
_cell_angle_gamma 90.00
_symmetry_space_group_name_H-M 'P 4/m m m'
_symmetry_Int_Tables_number 123
_symmetry_space_group_name_Hall '-P 4 2'
loop_
_atom_site_label
_atom_site_type_symbol
_atom_site_fract_x
_atom_site_fract_y
_atom_site_fract_z
La1 La 0.000 0.000 0.000
La2 La 0.000 0.000 0.334
La3 La 0.000 0.500 0.167
La4 La 0.000 0.500 0.500
Nd1 Nd 0.500 0.500 0.000
Sm1 Sm 0.500 0.500 0.334
```


Energy of formation from the pure elements values (in eV/atom) by entry order: 0.121 0.014 0.231 0.005.